VASP calculation (PBE) on an optimized crystal structure of Zr2Be6Ni21.

Calculated values
Volume   10.9 Å³ per atom
Energy relative to the elements   -249 meV per atom

Lattice parameters (Å, degrees): 7.6362 7.6362 7.6362 60.00 60.00 60.00
Element x y z (fractional)
Zr: 0.2500 0.2500 0.2500
Zr: 0.7500 0.7500 0.7500
Be: 0.2302 0.2302 0.7698
Be: 0.2302 0.7698 0.2302
Be: 0.2302 0.7698 0.7698
Be: 0.7698 0.2302 0.2302
Be: 0.7698 0.2302 0.7698
Be: 0.7698 0.7698 0.2302
Ni: 0.1165 0.1165 0.1165
Ni: 0.1165 0.1165 0.6505
Ni: 0.1165 0.6505 0.1165
Ni: 0.1576 0.5000 0.5000
Ni: 0.1576 0.5000 0.8424
Ni: 0.1576 0.8424 0.5000
Ni: 0.3495 0.8835 0.8835
Ni: 0.5000 0.1576 0.5000
Ni: 0.5000 0.1576 0.8424
Ni: 0.5000 0.5000 0.1576
Ni: 0.5000 0.5000 0.5000
Ni: 0.5000 0.5000 0.8424
Ni: 0.5000 0.8424 0.1576
Ni: 0.5000 0.8424 0.5000
Ni: 0.6505 0.1165 0.1165
Ni: 0.8424 0.1576 0.5000
Ni: 0.8424 0.5000 0.1576
Ni: 0.8424 0.5000 0.5000
Ni: 0.8835 0.3495 0.8835
Ni: 0.8835 0.8835 0.3495
Ni: 0.8835 0.8835 0.8835

=====

VASP calculation (PBE) on an optimized crystal structure of Zr3Be6Ni20.

Calculated values
Volume   11.2 Å³ per atom
Energy relative to the elements   -330 meV per atom

Lattice parameters (Å, degrees): 7.7098 7.7098 7.7098 60.00 60.00 60.00
Element x y z (fractional)
Zr: 0.0000 0.0000 0.0000
Zr: 0.2500 0.2500 0.2500
Zr: 0.7500 0.7500 0.7500
Be: 0.2692 0.2692 0.7308
Be: 0.2692 0.7308 0.2692
Be: 0.2692 0.7308 0.7308
Be: 0.7308 0.2692 0.2692
Be: 0.7308 0.2692 0.7308
Be: 0.7308 0.7308 0.2692
Ni: 0.0000 0.0000 0.3461
Ni: 0.0000 0.0000 0.6539
Ni: 0.0000 0.3461 0.0000
Ni: 0.0000 0.3461 0.6539
Ni: 0.0000 0.6539 0.0000
Ni: 0.0000 0.6539 0.3461
Ni: 0.1510 0.6163 0.6163
Ni: 0.3461 0.0000 0.0000
Ni: 0.3461 0.0000 0.6539
Ni: 0.3461 0.6539 0.0000
Ni: 0.3837 0.3837 0.3837
Ni: 0.3837 0.3837 0.8490
Ni: 0.3837 0.8490 0.3837
Ni: 0.6163 0.1510 0.6163
Ni: 0.6163 0.6163 0.1510
Ni: 0.6163 0.6163 0.6163
Ni: 0.6539 0.0000 0.0000
Ni: 0.6539 0.0000 0.3461
Ni: 0.6539 0.3461 0.0000
Ni: 0.8490 0.3837 0.3837